[1]
Material: TmSb2S6
Method: DFT, PBE
State: relaxed

Unit cell a=6.081 b=6.081 c=12.118 alpha=90.00 beta=90.00 gamma=90.00
Fractional positions:
1 S 0.312 0.312 0.000
2 S 0.196 0.804 0.830
3 Tm 0.000 0.000 0.000
4 S 0.696 0.696 0.670
5 Sb 0.500 0.500 0.165
6 Sb 0.000 0.000 0.665
7 S 0.688 0.688 0.000
8 S 0.696 0.696 0.330
9 S 0.188 0.812 0.500
10 S 0.304 0.304 0.330
11 S 0.804 0.196 0.830
12 S 0.196 0.804 0.170
13 S 0.304 0.304 0.670
14 Tm 0.500 0.500 0.500
15 S 0.812 0.188 0.500
16 Sb 0.500 0.500 0.835
17 S 0.804 0.196 0.170
18 Sb 0.000 0.000 0.335

Computed properties:
The value obtained for the calculated volume is 24.9 Å³/atom. The space group is P4_2/mnm (136). For the total magnetization, the calculation gives 0.000 μB per atom. The formation energy without anion corrections comes out at -0.46 eV per atom.

***

[2]
Material: Tl2ZnSi
Method: DFT, PBE
State: relaxed

Unit cell a=3.371 b=3.371 c=8.621 alpha=90.00 beta=90.00 gamma=104.24
Fractional positions:
1 Tl 0.000 0.000 0.996
2 Si 0.500 0.500 0.750
3 Zn 0.500 0.500 0.250
4 Tl 0.000 0.000 0.504

Computed properties:
The value obtained for the calculated volume is 23.7 Å³/atom. The energy above the lowest structure with this stoichiometry is 1.00 eV per formula unit. The space group is Cmmm (65). For the total magnetization, the calculation gives 0.000 μB per atom. The formation energy without anion corrections comes out at 0.41 eV per atom.

***

[3]
Material: BeCl3
Method: DFT, PBE
State: relaxed

Unit cell a=4.693 b=4.693 c=4.693 alpha=60.00 beta=60.00 gamma=60.00
Site moments in Bohr magnetons follow the coordinates.
Fractional positions:
1 Cl 0.750 0.750 0.750  0.19
2 Cl 0.250 0.250 0.250  0.19
3 Be 0.000 0.000 0.000  -0.02
4 Cl 0.500 0.500 0.500  0.49

Computed properties:
The value obtained for the calculated volume is 18.3 Å³/atom. The energy above the lowest structure with this stoichiometry is 5.22 eV per formula unit. The space group is Fm-3m (225). For the total magnetization, the calculation gives 0.250 μB per atom. The formation energy without anion corrections comes out at 0.51 eV per atom.

***

[4]
Material: InOs2Cl
Method: DFT, PBE
State: relaxed

Unit cell a=4.532 b=4.532 c=4.532 alpha=60.00 beta=60.00 gamma=60.00
Fractional positions:
1 Cl 0.000 0.000 0.000
2 Os 0.250 0.250 0.250
3 Os 0.750 0.750 0.750
4 In 0.500 0.500 0.500

Computed properties:
The value obtained for the calculated volume is 16.5 Å³/atom. The energy above the lowest structure with this stoichiometry is 4.45 eV per formula unit. The space group is Fm-3m (225). For the total magnetization, the calculation gives 0.000 μB per atom. The formation energy without anion corrections comes out at 1.38 eV per atom.